i) The following is a DFT calculation (PBE-GGA) of crystalline DyPd3Pt at its relaxed geometry.

Results
N(E_F) (states/eV per cell): 9.41

a = 5.153 Å, b = 7.874 Å, c = 4.980 Å
α = 90.00°, β = 116.09°, γ = 90.00°
Positions (direct):
Dy  0.000  0.204  0.250
Dy  0.000  0.796  0.750
Pd  0.322  0.130  0.902
Pd  0.322  0.870  0.402
Pd  0.500  0.431  0.250
Pd  0.500  0.569  0.750
Pd  0.678  0.130  0.598
Pd  0.678  0.870  0.098
Pt  0.000  0.421  0.750
Pt  0.000  0.579  0.250



ii) The following is a DFT calculation (PBE-GGA) of crystalline DyPd3Pt at its relaxed geometry.

Results
N(E_F) (states/eV per cell): 9.00

a = 9.775 Å, b = 9.775 Å, c = 9.775 Å
α = 150.21°, β = 150.21°, γ = 42.63°
Positions (direct):
Dy  0.164  0.164  0.000
Dy  0.836  0.836  0.000
Pd  0.375  0.624  0.751
Pd  0.376  0.128  0.751
Pd  0.376  0.625  0.249
Pd  0.571  0.071  0.500
Pd  0.872  0.624  0.249
Pd  0.929  0.429  0.500
Pt  0.250  0.750  0.500
Pt  0.500  0.500  0.000



We find i) to be the most stable, with the next structure 0.451 eV/atom higher.



i) The following is a DFT calculation (PBE-GGA) of crystalline DyPd5Pt2 at its relaxed geometry.

Results
N(E_F) (states/eV per cell): 23.30

a = 2.921 Å, b = 8.835 Å, c = 10.473 Å
α = 90.00°, β = 90.00°, γ = 90.00°
Positions (direct):
Dy  0.000  0.000  0.000
Dy  0.500  0.500  0.500
Pd  0.000  0.225  0.368
Pd  0.000  0.225  0.632
Pd  0.000  0.500  0.000
Pd  0.000  0.775  0.368
Pd  0.000  0.775  0.632
Pd  0.500  0.000  0.500
Pd  0.500  0.275  0.132
Pd  0.500  0.275  0.868
Pd  0.500  0.725  0.132
Pd  0.500  0.725  0.868
Pt  0.000  0.500  0.262
Pt  0.000  0.500  0.738
Pt  0.500  0.000  0.238
Pt  0.500  0.000  0.762



ii) The following is a DFT calculation (PBE-GGA) of crystalline DyPd5Pt2 at its relaxed geometry.

Results
N(E_F) (states/eV per cell): 15.71

a = 7.429 Å, b = 7.429 Å, c = 7.429 Å
α = 123.40°, β = 123.40°, γ = 84.21°
Positions (direct):
Dy  0.250  0.250  0.000
Dy  0.750  0.750  0.000
Pd  0.000  0.000  0.000
Pd  0.016  0.516  0.205
Pd  0.189  0.984  0.500
Pd  0.311  0.811  0.795
Pd  0.484  0.689  0.500
Pd  0.500  0.500  0.000
Pd  0.516  0.311  0.500
Pd  0.689  0.189  0.205
Pd  0.811  0.016  0.500
Pd  0.984  0.484  0.795
Pt  0.145  0.355  0.500
Pt  0.355  0.855  0.209
Pt  0.645  0.145  0.791
Pt  0.855  0.645  0.500



We find i) to be the most stable, with the next structure 0.021 eV/atom higher.